This record from Alexandria describes PrInNi4P2 after structural relaxation. The functional is PBE.

Lattice parameters (Å, degrees): 3.9326 3.9326 8.2199 90.00 90.00 90.00
With the nearest neighbours (Å) after each atom.
Fractional coordinates of all 8 atoms:
In (0.0000, 0.0000, 0.0000)  8 Ni 2.65
Ni (0.0000, 0.5000, 0.7839)  2 P 2.23
Ni (0.0000, 0.5000, 0.2161)  2 P 2.23
Ni (0.5000, 0.0000, 0.7839)  2 P 2.23
Ni (0.5000, 0.0000, 0.2161)  2 P 2.23
Pr (0.0000, 0.0000, 0.5000)  8 Ni 3.05, 8 P 3.06
P (0.5000, 0.5000, 0.3451)  4 Ni 2.23
P (0.5000, 0.5000, 0.6549)  4 Ni 2.23

Density, g/cm3: 7.2
Formation enthalpy at 0 K, meV/atom: -544
Symmetry: No. 123


This record from Alexandria describes InNiPPt2 after structural relaxation. The functional is PBE.

Lattice parameters (Å, degrees): 4.6285 4.6395 4.6285 90.00 90.00 90.00
With the nearest neighbours (Å) after each atom.
Fractional coordinates of all 5 atoms:
Ni (0.0000, 0.0000, 0.0000)  4 Pt 2.31, 2 In 2.32
Pt (0.5000, 0.0000, 0.0000)  2 Ni 2.31
Pt (0.0000, 0.0000, 0.5000)  2 Ni 2.31
In (0.0000, 0.5000, 0.0000)  2 Ni 2.32
P (0.5000, 0.5000, 0.5000)  4 In 3.27, 8 Pt 3.28

Density, g/cm3: 9.9
Formation enthalpy at 0 K, meV/atom: 848
Symmetry: No. 123


This record from Alexandria describes InNiP2S after structural relaxation. The functional is PBE.

Lattice parameters (Å, degrees): 4.9846 4.9846 4.9977 90.00 90.00 90.00
With the nearest neighbours (Å) after each atom.
Fractional coordinates of all 5 atoms:
S (0.0000, 0.0000, 0.5000)  2 In 2.50
Ni (0.5000, 0.5000, 0.5000)  4 S 3.52, 8 P 3.53
P (0.5000, 0.0000, 0.0000)  2 In 2.49
P (0.0000, 0.5000, 0.0000)  2 In 2.49
In (0.0000, 0.0000, 0.0000)  4 P 2.49, 2 S 2.50

E above lowest polymorph, meV/atom: 1065
Density, g/cm3: 3.6
Raw formation energy, eV per atom: 1.467
Symmetry: No. 123